VASP calculation (GGA-PBE) on Ba4CdAg after structural relaxation.

Results
formation energy: -1.2 eV per formula unit

Structure (POSCAR):
```
Ba4CdAg
1.0
4.251 -0.001 0.000
0.001 4.251 0.000
-0.002 -0.002 15.099
Ba Cd Ag
4 1 1
Direct
0.500 0.500 0.865
0.500 0.500 0.135
0.000 0.000 0.628
0.000 0.000 0.372
0.000 0.000 0.000
0.500 0.500 0.500
```

***

VASP calculation (GGA-PBE) on PrY2Sn2Hg2 after structural relaxation.

Results
formation energy: -2.5 eV per formula unit

Structure (POSCAR):
```
PrY2Sn2Hg2
1.0
-2.688 -4.080 1.118
0.054 -3.957 -3.076
6.160 -6.083 3.849
Pr Y Sn Hg
1 2 2 2
Direct
0.000 0.000 0.000
0.131 0.131 0.606
0.869 0.869 0.394
0.733 0.733 0.802
0.267 0.267 0.198
0.567 0.567 0.300
0.433 0.433 0.700
```

***

VASP calculation (GGA-PBE) on Rb2HF after structural relaxation.

Structure (POSCAR):
```
Rb2HF
1.0
3.975 0.010 1.166
1.807 3.541 1.166
0.043 0.026 7.214
Rb H F
2 1 1
Direct
0.747 0.747 0.760
0.253 0.253 0.240
0.500 0.500 0.500
0.000 0.000 0.000
```

***

VASP calculation (GGA-PBE) on Dy2AsN after structural relaxation.

Results
ΔE_f (raw): -32.81 kcal/mol of atoms

Structure (POSCAR):
```
Dy2AsN
1.0
3.726 0.000 0.000
1.863 3.227 0.000
1.863 1.076 6.401
As N Dy
1 1 2
Direct
0.500 0.500 0.500
0.000 0.000 0.000
0.737 0.737 0.790
0.263 0.263 0.210
```

***

VASP calculation (GGA-PBE) on Hf9BOs4 after structural relaxation.

Results
formation energy: -5.8 eV per formula unit

Structure (POSCAR):
```
Hf9BOs4
1.0
4.181 -7.242 0.000
4.181 7.242 0.000
0.000 0.000 8.594
Hf B Os
18 2 8
Direct
0.199 0.801 0.440
0.199 0.398 0.440
0.602 0.801 0.440
0.801 0.199 0.560
0.801 0.602 0.560
0.398 0.199 0.560
0.801 0.199 0.940
0.801 0.602 0.940
0.398 0.199 0.940
0.199 0.801 0.060
0.199 0.398 0.060
0.602 0.801 0.060
0.542 0.458 0.250
0.542 0.084 0.250
0.916 0.458 0.250
0.458 0.542 0.750
0.458 0.916 0.750
0.084 0.542 0.750
0.333 0.667 0.250
0.667 0.333 0.750
0.886 0.114 0.250
0.886 0.773 0.250
0.227 0.114 0.250
0.114 0.886 0.750
0.114 0.227 0.750
0.773 0.886 0.750
0.000 0.000 0.500
0.000 0.000 0.000
```

***

VASP calculation (GGA-PBE) on TbDyOs after structural relaxation.

Results
formation energy: -0.6 eV per formula unit

Structure (POSCAR):
```
TbDyOs
1.0
4.785 0.000 0.000
2.393 4.144 0.000
2.393 1.381 3.907
Tb Os Dy
1 1 1
Direct
0.000 0.000 0.000
0.250 0.250 0.250
0.500 0.500 0.500
```

***

VASP calculation (GGA-PBE) on Na3CuPt after structural relaxation.

Results
formation energy: 1.9 eV per formula unit

Structure (POSCAR):
```
Na3CuPt
1.0
-4.805 -1.414 2.120
2.411 -3.986 2.807
0.824 3.420 4.149
Na Cu Pt
3 1 1
Direct
0.000 0.500 0.000
0.000 0.000 0.500
0.500 0.000 0.000
0.500 0.500 0.500
0.000 0.000 0.000
```

***

Number 1: final energy -2.103 eV/atom. Number 2: final energy -4.123 eV/atom. Number 3: final energy -3.208 eV/atom. Number 4: final energy -6.968 eV/atom. Number 5: final energy -10.495 eV/atom. Number 6: final energy -7.022 eV/atom. Number 7: final energy -2.435 eV/atom.